No. 1
A PBEsol-optimized structure of MoPIr2. Source: Alexandria, functional SCAN.

Computed properties:
D(E_F) (states/eV/atom): 0.74
Energy relative to the elements (eV/atom): 0.10
Total moment (μB per formula unit): 0.00

Cell: 4.655 4.655 2.771 Å, 90.00 90.00 110.91°
Fractional positions:
Mo 0.000 0.000 0.000
P 0.500 0.500 0.000
Ir 0.000 0.500 0.500
Ir 0.500 0.000 0.500


No. 2
A PBEsol-optimized structure of Mo2Ru3. Source: Alexandria, functional SCAN.

Computed properties:
D(E_F) (states/eV/atom): 0.51
Energy relative to the elements (eV/atom): 0.04
Total moment (μB per formula unit): 0.00

Cell: 6.897 5.189 7.940 Å, 59.03 40.18 80.79°
Fractional positions:
Mo 0.267 0.733 0.336
Mo 0.586 0.914 0.517
Mo 0.733 0.267 0.664
Mo 0.914 0.586 0.983
Ru 0.114 0.806 0.081
Ru 0.169 0.251 0.136
Ru 0.251 0.169 0.444
Ru 0.439 0.439 0.561
Ru 0.689 0.689 0.811
Ru 0.806 0.114 0.999


No. 3
A PBEsol-optimized structure of CsCu2Cl. Source: Alexandria, functional SCAN.

Computed properties:
D(E_F) (states/eV/atom): 0.72
Raw formation energy (eV/atom): 0.6900
Total moment (μB per formula unit): 1.14

Cell: 5.011 5.011 5.011 Å, 60.00 60.00 60.00°
Fractional positions:
Cs 0.000 0.000 0.000
Cu 0.250 0.250 0.250
Cu 0.750 0.750 0.750
Cl 0.500 0.500 0.500